Entry a
VASP calculation (PBE) on a relaxed structure of Zr2Zn2H.

a = 7.7391 Å, b = 7.7391 Å, c = 3.0919 Å
α = 90.00°, β = 90.00°, γ = 90.00°
Atoms (fractional coordinates):
H 0.0000 0.0000 0.0000
Zr 0.1815 0.6815 0.5000
Zr 0.8185 0.3185 0.5000
Zr 0.3185 0.1815 0.5000
Zn 0.1139 0.3861 0.0000
Zn 0.6139 0.1139 0.0000
Zn 0.3861 0.8861 0.0000
Zn 0.8861 0.6139 0.0000
Zr 0.6815 0.8185 0.5000
H 0.5000 0.5000 0.0000

Computed properties:
Magnetization in μB per cell: 0.0
Volume in Å³/cell: 185.19
Theoretical density in g cm⁻³: 5.6
DOS(E_F) in states/eV/cell: 6.435

Entry b
VASP calculation (PBE) on a relaxed structure of Zr2Zn2H.

a = 5.8748 Å, b = 5.8748 Å, c = 4.9269 Å
α = 90.00°, β = 90.00°, γ = 90.00°
Atoms (fractional coordinates):
Zr 0.8343 0.6657 0.0000
Zr 0.3343 0.8343 0.0000
H 0.5000 0.5000 0.0000
Zn 0.3477 0.1523 0.5000
H 0.0000 0.0000 0.0000
Zn 0.6523 0.8477 0.5000
Zn 0.8477 0.3477 0.5000
Zn 0.1523 0.6523 0.5000
Zr 0.1657 0.3343 0.0000
Zr 0.6657 0.1657 0.0000

Computed properties:
Magnetization in μB per cell: 0.0
Volume in Å³/cell: 170.04
Theoretical density in g cm⁻³: 6.1
DOS(E_F) in states/eV/cell: 5.399

Entry c
VASP calculation (PBE) on a relaxed structure of Zr2Zn2H.

a = 3.9962 Å, b = 3.9962 Å, c = 7.2904 Å
α = 74.09°, β = 74.09°, γ = 90.00°
Atoms (fractional coordinates):
Zn 0.4109 0.4109 0.1783
Zr 0.2500 0.7500 0.5000
Zr 0.7500 0.2500 0.5000
H 0.0000 0.0000 0.0000
Zn 0.5891 0.5891 0.8217

Computed properties:
Magnetization in μB per cell: 0.0
Volume in Å³/cell: 107.32
Theoretical density in g cm⁻³: 4.9
DOS(E_F) in states/eV/cell: 4.031

Which is most stable? The ranking, best first, is entry b, entry a, entry c.